## CeTaFeP2 (PBE)

Data for a relaxed structure of CeTaFeP2.

a = 3.7605 Å, b = 3.7605 Å, c = 6.6444 Å
α = 106.44°, β = 106.44°, γ = 90.00°
With the nearest neighbours (Å) after each atom.
Atoms (fractional coordinates):
Fe (0.7500, 0.2500, 0.5000)  4 P 2.44, 4 Ta 2.66
Ce (0.0000, 0.0000, 0.0000)  8 P 3.05
P (0.6219, 0.6219, 0.2439)  2 Ta 2.44, 2 Fe 2.44
P (0.3781, 0.3781, 0.7561)  2 Ta 2.44, 2 Fe 2.44
Ta (0.2500, 0.7500, 0.5000)  4 P 2.44, 4 Fe 2.66

As for the formation energy: -0.81 eV per atom. The calculation puts the total energy at -41.10 eV per cell. The value obtained for the spin magnetization is 0.27 Bohr magnetons per cell.